Cs2KBi2 | PBEsol | relaxed

```
data_Cs2KBi2
_cell_length_a 9.120
_cell_length_b 9.120
_cell_length_c 5.957
_cell_angle_alpha 90.00
_cell_angle_beta 90.00
_cell_angle_gamma 90.00
_space_group_name_H-M_alt 'P 1'
_space_group_IT_number 1
_space_group_name_Hall 'P 1'
loop_
_atom_site_label
_atom_site_type_symbol
_atom_site_fract_x
_atom_site_fract_y
_atom_site_fract_z
_atom_site_occupancy
Cs1 Cs 0.167 0.333 0.000 1
Cs2 Cs 0.333 0.833 0.000 1
Cs3 Cs 0.667 0.167 0.000 1
Cs4 Cs 0.833 0.667 0.000 1
K1 K 0.000 0.000 0.500 1
K2 K 0.500 0.500 0.500 1
Bi1 Bi 0.115 0.615 0.500 1
Bi2 Bi 0.385 0.115 0.500 1
Bi3 Bi 0.615 0.885 0.500 1
Bi4 Bi 0.885 0.385 0.500 1
```

**E**: -2.617 eV per atom
**Space group**: P4/mbm, No. 127
**Polymorph energy (0 for the lowest one)**: 0.0000 eV/atom
**E_form**: -28.8 kJ/mol of atoms
**DOS at the Fermi energy**: 7.02 states/eV/f.u.
**Size of the total moment**: 1.21 μB/cell